A | Entry from the Alexandria database: an optimized crystal structure of Pm3GaNi3 (PBE).

Lattice parameters (Å, degrees): 4.147 5.501 13.439 90.00 90.00 112.14
Fractional positions:
Pm 0.217 0.433 0.896
Pm 0.783 0.567 0.104
Pm 0.217 0.433 0.604
Pm 0.783 0.567 0.396
Pm 0.500 0.999 0.750
Pm 0.500 0.001 0.250
Ga 0.500 0.000 0.000
Ga 0.500 0.000 0.500
Ni 0.927 0.853 0.911
Ni 0.073 0.147 0.089
Ni 0.927 0.853 0.589
Ni 0.073 0.147 0.411
Ni 0.800 0.600 0.750
Ni 0.200 0.400 0.250

N(E_F) = 10.7 states/eV/cell
space-group type = Cmcm (63)
magnetization = 0.00 μB per cell

---

B | Entry from the Alexandria database: an optimized crystal structure of Pm3GaNi3 (PBE).

Lattice parameters (Å, degrees): 5.542 8.385 8.385 120.00 90.00 90.00
Fractional positions:
Pm 0.750 0.698 0.645
Pm 0.750 0.355 0.052
Pm 0.750 0.948 0.302
Pm 0.250 0.302 0.355
Pm 0.250 0.645 0.948
Pm 0.250 0.052 0.698
Ga 0.250 0.667 0.333
Ga 0.750 0.333 0.667
Ni 0.250 0.681 0.624
Ni 0.250 0.376 0.056
Ni 0.250 0.944 0.319
Ni 0.750 0.319 0.376
Ni 0.750 0.624 0.944
Ni 0.750 0.056 0.681

N(E_F) = 9.9 states/eV/cell
space-group type = P6_3/m (176)
magnetization = 0.00 μB per cell

---

Energy ordering: A at the bottom, the next structure 0.276 eV/atom above.

---

A | Entry from the Alexandria database: an optimized crystal structure of Pm2GaNi3 (PBE).

Lattice parameters (Å, degrees): 5.690 5.690 8.104 108.75 108.75 94.84
Fractional positions:
Pm 0.250 0.750 0.500
Pm 0.756 0.756 0.000
Pm 0.750 0.250 0.500
Pm 0.244 0.244 0.000
Ga 0.667 0.667 0.333
Ga 0.333 0.333 0.667
Ni 0.333 0.833 0.167
Ni 0.167 0.667 0.833
Ni 0.667 0.167 0.833
Ni 0.833 0.333 0.167
Ni 0.165 0.165 0.330
Ni 0.835 0.835 0.670

N(E_F) = 9.0 states/eV/cell
space-group type = Fmmm (69)
magnetization = 0.00 μB per cell

---

B | Entry from the Alexandria database: an optimized crystal structure of Pm2GaNi3 (PBE).

Lattice parameters (Å, degrees): 4.119 4.119 15.762 90.00 90.00 120.00
Last column: magnetic moment on the atom in μB.
Fractional positions:
Pm 0.000 0.000 0.620  -0.01
Pm 0.000 0.000 0.380  -0.01
Pm 0.000 0.000 0.120  -0.01
Pm 0.000 0.000 0.880  -0.01
Ga 0.667 0.333 0.750  0.00
Ga 0.333 0.667 0.250  0.00
Ni 0.667 0.333 0.250  -0.01
Ni 0.333 0.667 0.750  -0.01
Ni 0.667 0.333 0.501  0.14
Ni 0.333 0.667 0.499  0.14
Ni 0.333 0.667 0.001  0.14
Ni 0.667 0.333 0.999  0.14

N(E_F) = 11.2 states/eV/cell
space-group type = P6_3/mmc (194)
magnetization = 0.38 μB per cell

---

Energy ordering: B at the bottom, the next structure 0.010 eV/atom above.